# Pu2HfSe6 PBE optimized geometry
# spin magnetization = 16.1 μB per cell
# calculated volume = 29.45 Å³ per atom
# energy relative to the elements, uncorrected = -1.1230 eV per atom
data_Pu2HfSe6
_space_group_name_H-M_alt 'P 42/m n m'
_space_group_IT_number 136
_space_group_name_Hall '-P 4n 2n'
_cell_length_a 6.552
_cell_length_b 6.552
_cell_length_c 12.348
_cell_angle_alpha 90.00
_cell_angle_beta 90.00
_cell_angle_gamma 90.00
loop_
_atom_site_label
_atom_site_fract_x
_atom_site_fract_y
_atom_site_fract_z
_atom_site_occupancy
Pu1 0.000 0.000 0.169 1
Hf1 0.000 0.000 0.500 1
Se1 0.195 0.195 0.344 1
Se2 0.206 0.206 0.000 1

---

# Pu2HfTl2Se6 PBE optimized geometry
# spin magnetization = 20.0 μB per cell
# calculated volume = 30.80 Å³ per atom
# energy relative to the elements, uncorrected = -1.1585 eV per atom
data_Pu2HfTl2Se6
_space_group_name_H-M_alt 'C 1 2/m 1'
_space_group_IT_number 12
_cell_length_a 7.113
_cell_length_b 12.237
_cell_length_c 8.155
_cell_angle_alpha 90.00
_cell_angle_beta 107.32
_cell_angle_gamma 90.00
loop_
_space_group_symop_operation_xyz
'x,y,z'
'-x,-y,-z'
'-x,y,-z'
'x,-y,z'
'x+1/2,y+1/2,z'
'-x+1/2,-y+1/2,-z'
'-x+1/2,y+1/2,-z'
'x+1/2,-y+1/2,z'
loop_
_atom_site_label
_atom_site_fract_x
_atom_site_fract_y
_atom_site_fract_z
_atom_site_occupancy
Pu1 0.000 0.167 0.000 1
Hf1 0.000 0.500 0.000 1
Tl1 0.000 0.329 0.500 1
Se1 0.226 0.344 0.199 1
Se2 0.243 0.500 0.799 1

---

# PuHfSi2 PBE optimized geometry
# spin magnetization = 5.5 μB per cell
# calculated volume = 19.19 Å³ per atom
# energy relative to the elements, uncorrected = -0.4276 eV per atom
# energy above the lowest structure with this stoichiometry = 0.000 eV per atom
data_PuHfSi2
_space_group_name_H-M_alt 'P 4/m m m'
_space_group_IT_number 123
_space_group_name_Hall '-P 4 2'
_cell_length_a 3.544
_cell_length_b 3.544
_cell_length_c 6.109
_cell_angle_alpha 90.00
_cell_angle_beta 90.00
_cell_angle_gamma 90.00
loop_
_atom_site_label
_atom_site_fract_x
_atom_site_fract_y
_atom_site_fract_z
_atom_site_occupancy
Pu1 0.000 0.000 0.000 1
Hf1 0.000 0.000 0.500 1
Si1 0.500 0.500 0.296 1

---

Which formula does entry 1 have? Pu2HfSe6

---

Which of these has the highest spin magnetization? Pu2HfTl2Se6

---

The lowest spin magnetization belongs to which entry? PuHfSi2